Record 1
Here is crystalline KNpMn2Cl8 at its relaxed geometry from Alexandria via LeMat-Bulk. Energies are from PBE-GGA.

Structure (POSCAR):
```
KNpMn2Cl8
1.0
3.2428 1.8722 10.2558
-3.2428 1.8722 10.2558
0.0000 -3.7444 10.2558
K Np Mn Cl
1 1 2 8
Cartesian
0.0000 0.0000 0.0000
0.0000 0.0000 15.3836
0.0000 0.0000 7.7284
0.0000 0.0000 23.0389
-1.0076 -1.8485 13.6091
-1.0970 -1.7968 17.1581
0.0000 0.0000 9.9962
-1.0970 1.7968 13.6091
-1.0076 1.8485 17.1582
0.0000 0.0000 20.7711
2.1046 0.0517 13.6091
2.1046 -0.0517 17.1582
```

Space-group type: R32, No. 155
DOS at the Fermi energy: 4.2 states/eV per cell
E_form (uncorrected): -1382.9 meV per atom

Record 2
Here is crystalline MgFeW2 at its relaxed geometry from Alexandria via LeMat-Bulk. Energies are from PBE-GGA.

Structure (POSCAR):
```
MgFeW2
1.0
1.8058 -2.0625 0.0000
1.8058 2.0625 0.0000
0.0000 0.0000 8.2233
Mg Fe W
1 1 2
Cartesian
0.0000 0.0000 0.0000
0.0000 0.0000 4.1117
1.8058 0.0000 2.3452
1.8058 0.0000 5.8781
```

Space-group type: Cmmm, No. 65
DOS at the Fermi energy: 3.5 states/eV per cell
Calculated formation energy: 0.362 eV/atom

Record 3
Here is crystalline Ca2PrInN at its relaxed geometry from Alexandria via LeMat-Bulk. Energies are from PBE-GGA.

Structure (POSCAR):
```
Ca2PrInN
1.0
4.9604 0.0000 0.0000
0.0000 4.9604 0.0000
0.0000 0.0000 5.0709
Ca Pr In N
2 1 1 1
Cartesian
0.0000 2.4802 0.0000
2.4802 0.0000 0.0000
0.0000 0.0000 2.5354
2.4802 2.4802 2.5354
0.0000 0.0000 0.0000
```

Space-group type: P4/mmm, No. 123
DOS at the Fermi energy: 6.4 states/eV per cell
E_form (uncorrected): -728.1 meV per atom

The following M_tot values (in μB per atom) correspond, in order, to the records above: 0.500, 0.000, 0.001.